1.
Material: LiScRh2
Method: DFT, PBE
State: relaxed

It has space group Pmm2 (No. 25), with a = 2.8812 Å, b = 4.0517 Å, c = 5.2283 Å, α = 90.00°, β = 90.00° and γ = 90.00°. The asymmetric unit holds Li at (0.0000, 0.0000, 0.0000), Sc at (0.5000, 0.5000, 0.7061), Rh at (0.0000, 0.0000, 0.4716) and Rh at (0.5000, 0.5000, 0.2044).

As for the total DFT energy (no corrections): -6.09 eV/atom. The energy of formation comes out at -353 meV per atom. As for the crystal system: orthorhombic.

2.
Material: LiScRh2
Method: DFT, PBE
State: relaxed

It has space group R-3m (No. 166, hexagonal axes), with a = 3.0268 Å, b = 3.0268 Å, c = 23.7421 Å, α = 90.00°, β = 90.00° and γ = 120.00°. The asymmetric unit holds Li at (0.0000, 0.0000, 0.0000), Sc at (0.0000, 0.0000, 0.5000) and Rh at (0.0000, 0.0000, 0.2496).

As for the total DFT energy (no corrections): -6.13 eV/atom. The energy of formation comes out at -394 meV per atom. As for the crystal system: trigonal.

3.
Material: LiScRh2
Method: DFT, PBE
State: relaxed

It has space group P4/mmm (No. 123), with a = 3.1259 Å, b = 3.1259 Å, c = 6.0295 Å, α = 90.00°, β = 90.00° and γ = 90.00°. The asymmetric unit holds Li at (0.0000, 0.0000, 0.0000), Sc at (0.0000, 0.0000, 0.5000) and Rh at (0.5000, 0.5000, 0.2335).

As for the total DFT energy (no corrections): -6.32 eV/atom. The energy of formation comes out at -580 meV per atom. As for the crystal system: tetragonal.